(1)
Here is an optimized crystal structure of TeP3 from the Alexandria database. Energies are from PBE.

abc: 5.026 5.026 7.222
angles: 121.85 121.85 36.71
Positions (direct):
Te: 0.000 0.000 0.000
P: 0.000 0.000 0.500
P: 0.297 0.297 0.424
P: 0.703 0.703 0.576

Computed properties:
Formation energy without anion corrections (eV per atom): 0.31
Relative energy among the computed polymorphs (eV per atom): 0.1153
N(E_F) (states/eV/cell): 1.60
Crystal system: monoclinic

=====

(2)
Here is an optimized crystal structure of Rb4Tb3NdSe8 from the Alexandria database. Energies are from PBE.

abc: 9.415 9.415 9.415
angles: 54.21 54.21 54.21
Positions (direct):
Rb: 0.000 0.000 0.000
Rb: 0.000 0.500 0.500
Rb: 0.500 0.000 0.500
Rb: 0.500 0.500 0.000
Tb: 0.000 0.000 0.500
Tb: 0.000 0.500 0.000
Tb: 0.500 0.000 0.000
Nd: 0.500 0.500 0.500
Se: 0.227 0.736 0.736
Se: 0.232 0.232 0.232
Se: 0.264 0.264 0.773
Se: 0.264 0.773 0.264
Se: 0.736 0.227 0.736
Se: 0.736 0.736 0.227
Se: 0.768 0.768 0.768
Se: 0.773 0.264 0.264

Computed properties:
Formation energy without anion corrections (eV per atom): -1.74
N(E_F) (states/eV/cell): 0.00
Crystal system: trigonal

=====

(3)
Here is an optimized crystal structure of CsMg14Sn from the Alexandria database. Energies are from PBE.

abc: 6.659 6.659 10.674
angles: 90.00 90.00 120.00
Positions (direct):
Cs: 0.000 0.000 0.000
Mg: 0.010 0.505 0.000
Mg: 0.174 0.348 0.271
Mg: 0.174 0.348 0.729
Mg: 0.174 0.826 0.271
Mg: 0.174 0.826 0.729
Mg: 0.495 0.505 0.000
Mg: 0.495 0.990 0.000
Mg: 0.507 0.014 0.500
Mg: 0.507 0.493 0.500
Mg: 0.652 0.826 0.271
Mg: 0.652 0.826 0.729
Mg: 0.667 0.333 0.245
Mg: 0.667 0.333 0.755
Mg: 0.986 0.493 0.500
Sn: 0.000 0.000 0.500

Computed properties:
Relative energy among the computed polymorphs (eV per atom): 0.0272
N(E_F) (states/eV/cell): 9.03
Crystal system: hexagonal

=====

(4)
Here is an optimized crystal structure of LiPmEuCo from the Alexandria database. Energies are from PBE.

abc: 5.021 5.021 5.021
angles: 60.00 60.00 60.00
Positions (direct):
Li: 0.000 0.000 0.000
Pm: 0.250 0.250 0.250
Eu: 0.750 0.750 0.750
Co: 0.500 0.500 0.500

Computed properties:
N(E_F) (states/eV/cell): 4.14
E_tot (eV/atom): -5.901
Crystal system: cubic

=====

What is the formula in the second record? Rb4Tb3NdSe8

=====

Among the records above, which one has the lowest N(E_F)? Rb4Tb3NdSe8

=====

Copy entry 2 word for word.
Here is an optimized crystal structure of Rb4Tb3NdSe8 from the Alexandria database. Energies are from PBE.

abc: 9.415 9.415 9.415
angles: 54.21 54.21 54.21
Positions (direct):
Rb: 0.000 0.000 0.000
Rb: 0.000 0.500 0.500
Rb: 0.500 0.000 0.500
Rb: 0.500 0.500 0.000
Tb: 0.000 0.000 0.500
Tb: 0.000 0.500 0.000
Tb: 0.500 0.000 0.000
Nd: 0.500 0.500 0.500
Se: 0.227 0.736 0.736
Se: 0.232 0.232 0.232
Se: 0.264 0.264 0.773
Se: 0.264 0.773 0.264
Se: 0.736 0.227 0.736
Se: 0.736 0.736 0.227
Se: 0.768 0.768 0.768
Se: 0.773 0.264 0.264

Computed properties:
Formation energy without anion corrections (eV per atom): -1.74
N(E_F) (states/eV/cell): 0.00
Crystal system: trigonal